(1)
DFT (PBE-GGA) results for LiAgS after structural relaxation.

**Uncorrected energy**: -3.63 eV per atom

a = 7.9741 Å, b = 7.9741 Å, c = 7.9741 Å
α = 94.89°, β = 94.89°, γ = 146.03°
Sites, in units of the cell vectors:
Ag (0.6666, 0.3334, 0.0000)
Ag (0.3334, 0.6666, 0.0000)
Ag (0.6666, 0.6666, 0.3333)
Ag (0.3334, 0.3334, 0.6667)
Li (0.3603, 0.0000, 0.3603)
Li (0.0000, 0.3603, 0.3603)
Li (0.6397, 0.0000, 0.6397)
Li (0.0000, 0.6397, 0.6397)
S (0.8096, 0.5000, 0.3096)
S (0.5000, 0.8096, 0.3096)
S (0.5000, 0.1904, 0.6904)
S (0.1904, 0.5000, 0.6904)

(2)
DFT (PBE-GGA) results for LiAgS after structural relaxation.

**Uncorrected energy**: -3.59 eV per atom

a = 4.5530 Å, b = 7.0224 Å, c = 7.8778 Å
α = 89.93°, β = 89.96°, γ = 75.89°
Sites, in units of the cell vectors:
Ag (0.0009, 0.0022, 0.0130)
Ag (0.0018, 0.0023, 0.5116)
Ag (0.0305, 0.4177, 0.5547)
Ag (0.0301, 0.4169, 0.9687)
Li (0.3919, 0.7469, 0.2616)
Li (0.5704, 0.3081, 0.2621)
Li (0.5906, 0.2901, 0.7617)
Li (0.4468, 0.7256, 0.7623)
S (0.4875, 0.5305, 0.0145)
S (0.7404, 0.9565, 0.2627)
S (0.4883, 0.5304, 0.5094)
S (0.2474, 0.0750, 0.7621)

(3)
DFT (PBE-GGA) results for LiSiAgSe2S after structural relaxation.

**Uncorrected energy**: -3.89 eV per atom

a = 6.9814 Å, b = 6.9814 Å, c = 10.0160 Å
α = 90.00°, β = 90.00°, γ = 150.50°
Sites, in units of the cell vectors:
Ag (0.6470, 0.3530, 0.2500)
Ag (0.3530, 0.6470, 0.7500)
Li (0.3503, 0.6497, 0.2500)
Li (0.6497, 0.3503, 0.7500)
S (0.9689, 0.0311, 0.2500)
S (0.0311, 0.9689, 0.7500)
Se (0.6292, 0.3708, 0.0033)
Se (0.6292, 0.3708, 0.4967)
Se (0.3708, 0.6292, 0.5033)
Se (0.3708, 0.6292, 0.9967)
Si (0.0000, 0.0000, 0.0000)
Si (0.0000, 0.0000, 0.5000)

(4)
DFT (PBE-GGA) results for LiSiAgSeS2 after structural relaxation.

**Uncorrected energy**: -4.03 eV per atom

a = 6.9428 Å, b = 6.9428 Å, c = 9.9890 Å
α = 90.00°, β = 90.00°, γ = 151.95°
Sites, in units of the cell vectors:
Ag (0.6406, 0.3594, 0.2500)
Ag (0.3594, 0.6406, 0.7500)
Li (0.3189, 0.6811, 0.2500)
Li (0.6811, 0.3189, 0.7500)
S (0.6221, 0.3779, 0.0121)
S (0.6221, 0.3779, 0.4879)
S (0.3779, 0.6221, 0.5121)
S (0.3779, 0.6221, 0.9879)
Se (0.9567, 0.0433, 0.2500)
Se (0.0433, 0.9567, 0.7500)
Si (0.0000, 0.0000, 0.0000)
Si (0.0000, 0.0000, 0.5000)

(5)
DFT (PBE-GGA) results for LiAgSnSe2S after structural relaxation.

**Uncorrected energy**: -3.74 eV per atom

a = 7.0279 Å, b = 7.0279 Å, c = 10.4710 Å
α = 90.00°, β = 90.00°, γ = 147.46°
Sites, in units of the cell vectors:
Ag (0.8571, 0.1429, 0.2500)
Ag (0.1429, 0.8571, 0.7500)
Li (0.1424, 0.8576, 0.2500)
Li (0.8576, 0.1424, 0.7500)
S (0.5425, 0.4575, 0.2500)
S (0.4575, 0.5425, 0.7500)
Se (0.8574, 0.1426, 0.0113)
Se (0.8574, 0.1426, 0.4887)
Se (0.1426, 0.8574, 0.5113)
Se (0.1426, 0.8574, 0.9887)
Sn (0.5000, 0.5000, 0.0000)
Sn (0.5000, 0.5000, 0.5000)

(6)
DFT (PBE-GGA) results for LiAgSnSeS2 after structural relaxation.

**Uncorrected energy**: -3.83 eV per atom

a = 6.9458 Å, b = 6.9458 Å, c = 10.4478 Å
α = 90.00°, β = 90.00°, γ = 148.15°
Sites, in units of the cell vectors:
Ag (0.8603, 0.1397, 0.2500)
Ag (0.1397, 0.8603, 0.7500)
Li (0.1782, 0.8218, 0.2500)
Li (0.8218, 0.1782, 0.7500)
S (0.8651, 0.1349, 0.0214)
S (0.8651, 0.1349, 0.4786)
S (0.1349, 0.8651, 0.5214)
S (0.1349, 0.8651, 0.9786)
Se (0.5600, 0.4400, 0.2500)
Se (0.4400, 0.5600, 0.7500)
Sn (0.5000, 0.5000, 0.0000)
Sn (0.5000, 0.5000, 0.5000)

(7)
DFT (PBE-GGA) results for LiTcAgSeS2 after structural relaxation.

**Total magnetic moment**: 2.9 μB per cell
**Uncorrected energy**: -4.73 eV per atom

a = 6.8522 Å, b = 6.8522 Å, c = 9.9106 Å
α = 90.00°, β = 90.00°, γ = 152.16°
Site moments in Bohr magnetons follow the coordinates.
Sites, in units of the cell vectors:
Ag (0.9049, 0.0951, 0.2500)  0.05
Ag (0.0951, 0.9049, 0.7500)  0.05
Li (0.2328, 0.7672, 0.2500)  0.01
Li (0.7672, 0.2328, 0.7500)  0.01
S (0.8670, 0.1330, 0.0150)  0.05
S (0.8670, 0.1330, 0.4850)  0.05
S (0.1330, 0.8670, 0.5150)  0.05
S (0.1330, 0.8670, 0.9850)  0.05
Se (0.5761, 0.4239, 0.2500)  -0.03
Se (0.4239, 0.5761, 0.7500)  -0.03
Tc (0.5000, 0.5000, 0.0000)  1.06
Tc (0.5000, 0.5000, 0.5000)  1.03

(8)
DFT (PBE-GGA) results for LiTcAgSe2S after structural relaxation.

**Total magnetic moment**: 5.6 μB per cell
**Uncorrected energy**: -4.61 eV per atom

a = 6.7097 Å, b = 6.7097 Å, c = 10.0349 Å
α = 90.00°, β = 90.00°, γ = 147.93°
Site moments in Bohr magnetons follow the coordinates.
Sites, in units of the cell vectors:
Ag (0.9122, 0.0878, 0.2500)  0.08
Ag (0.0878, 0.9122, 0.7500)  0.08
Li (0.1924, 0.8076, 0.2500)  0.02
Li (0.8076, 0.1924, 0.7500)  0.02
S (0.5592, 0.4408, 0.2500)  0.05
S (0.4408, 0.5592, 0.7500)  0.05
Se (0.8591, 0.1409, 0.0098)  0.08
Se (0.8591, 0.1409, 0.4902)  0.08
Se (0.1409, 0.8591, 0.5098)  0.08
Se (0.1409, 0.8591, 0.9902)  0.08
Tc (0.5000, 0.5000, 0.0000)  2.13
Tc (0.5000, 0.5000, 0.5000)  2.13

Q: Which of these has the highest uncorrected energy?
A: number 2